# 1
Entry from Alexandria via LeMat-Bulk: TmScSnPd after structural relaxation (PBE).

a b c (Å): 4.9833 4.9833 4.9833
angles (deg): 60.00 60.00 60.00
Fractional coordinates of all 4 atoms:
Sc 0.7500 0.7500 0.7500
Tm 0.2500 0.2500 0.2500
Sn 0.5000 0.5000 0.5000
Pd 0.0000 0.0000 0.0000

For the calculated formation energy, the calculation gives -0.732 eV/atom. As for the space-group type: F-43m (216). The density of states at the Fermi level is 1.62 states/eV per cell. As for the energy: -22.925 eV per cell.

# 2
Entry from Alexandria via LeMat-Bulk: YScSn2Pd after structural relaxation (PBE).

a b c (Å): 5.1574 5.2505 5.1574
angles (deg): 90.00 90.00 90.00
Each line ends with the local moment (μB).
Fractional coordinates of all 5 atoms:
Y 0.0000 0.5000 0.0000  0.27
Sc 0.5000 0.5000 0.5000  0.57
Sn 0.0000 0.0000 0.5000  0.00
Sn 0.5000 0.0000 0.0000  0.02
Pd 0.0000 0.0000 0.0000  0.04

For the calculated formation energy, the calculation gives -0.072 eV/atom. As for the space-group type: P4/mmm (123). The density of states at the Fermi level is 4.52 states/eV per cell. As for the energy: -26.354 eV per cell.

# 3
Entry from Alexandria via LeMat-Bulk: ScZnSnPd2 after structural relaxation (PBE).

a b c (Å): 4.8147 5.1188 4.8147
angles (deg): 90.00 90.00 90.00
Fractional coordinates of all 5 atoms:
Sc 0.0000 0.0000 0.0000
Zn 0.0000 0.5000 0.0000
Sn 0.5000 0.5000 0.5000
Pd 0.0000 0.0000 0.5000
Pd 0.5000 0.0000 0.0000

For the calculated formation energy, the calculation gives 0.374 eV/atom. As for the space-group type: P4/mmm (123). The density of states at the Fermi level is 2.76 states/eV per cell. As for the energy: -20.124 eV per cell.

# 4
Entry from Alexandria via LeMat-Bulk: ScZnSnPd after structural relaxation (PBE).

a b c (Å): 4.6876 4.6876 4.6876
angles (deg): 60.00 60.00 60.00
Fractional coordinates of all 4 atoms:
Sc 0.2500 0.2500 0.2500
Zn 0.0000 0.0000 0.0000
Sn 0.7500 0.7500 0.7500
Pd 0.5000 0.5000 0.5000

For the calculated formation energy, the calculation gives -0.552 eV/atom. As for the space-group type: F-43m (216). The density of states at the Fermi level is 2.33 states/eV per cell. As for the energy: -19.010 eV per cell.